Record 1
The following is a DFT calculation (meta-GGA SCAN) of a PBEsol-optimized structure of Rh2AuSe.

## Properties
Total DFT energy (no corrections)   -38.837 eV/atom
Uncorrected formation energy   1.43 eV per formula unit
Crystal system   tetragonal

abc: 3.944 3.944 4.837
angles: 114.06 114.06 90.00
Positions (direct):
Rh 0.750 0.250 0.500
Rh 0.000 0.000 0.000
Se 0.500 0.500 0.000
Au 0.250 0.750 0.500

Record 2
The following is a DFT calculation (meta-GGA SCAN) of a PBEsol-optimized structure of Tl2RhAuSe.

## Properties
Total DFT energy (no corrections)   -52.570 eV/atom
Uncorrected formation energy   4.87 eV per formula unit
Crystal system   tetragonal

abc: 4.749 5.415 5.415
angles: 90.00 90.00 90.00
Positions (direct):
Rh 0.500 0.500 0.500
Tl 0.000 0.500 0.000
Tl 0.000 0.000 0.500
Se 0.000 0.000 0.000
Au 0.500 0.000 0.000

Record 3
The following is a DFT calculation (meta-GGA SCAN) of a PBEsol-optimized structure of SiRh2Au.

## Properties
Total DFT energy (no corrections)   -37.257 eV/atom
Uncorrected formation energy   -2.31 eV per formula unit
Crystal system   tetragonal

abc: 2.846 2.846 6.858
angles: 90.00 90.00 90.00
Positions (direct):
Au 0.500 0.500 0.500
Si 0.500 0.500 0.000
Rh 0.000 0.000 0.797
Rh 0.000 0.000 0.203

Record 4
The following is a DFT calculation (meta-GGA SCAN) of a PBEsol-optimized structure of SiRhAu2.

## Properties
Total DFT energy (no corrections)   -45.536 eV/atom
Uncorrected formation energy   -0.04 eV per formula unit
Crystal system   monoclinic

abc: 2.956 4.421 4.942
angles: 108.28 90.00 90.00
Positions (direct):
Au 0.000 0.000 0.000
Au 0.500 0.500 0.000
Si 0.000 0.500 0.500
Rh 0.500 0.000 0.500

Record 5
The following is a DFT calculation (meta-GGA SCAN) of a PBEsol-optimized structure of SiRh2Au.

## Properties
Total DFT energy (no corrections)   -36.806 eV/atom
Uncorrected formation energy   -0.51 eV per formula unit
Crystal system   tetragonal

abc: 2.885 2.885 6.773
angles: 90.00 90.00 90.00
Positions (direct):
Si 0.000 0.000 0.473
Rh 0.000 0.000 0.010
Rh 0.500 0.500 0.287
Au 0.500 0.500 0.730

Record 6
The following is a DFT calculation (meta-GGA SCAN) of a PBEsol-optimized structure of SiRh2Au.

## Properties
Total DFT energy (no corrections)   -36.817 eV/atom
Uncorrected formation energy   -0.55 eV per formula unit
Crystal system   orthorhombic

abc: 2.738 3.656 5.787
angles: 90.00 90.00 90.00
Positions (direct):
Rh 0.000 0.000 0.019
Rh 0.500 0.500 0.286
Au 0.500 0.500 0.760
Si 0.000 0.000 0.435